<i>
Material: SrYTa2
Method: DFT, meta-GGA SCAN
State: single point on PBEsol structure

Properties
Density of states at the Fermi level (states/eV/cell): 4.1
Magnetic moment (μB per atom): 0.00
Symmetry: No. 47

abc: 3.0849 4.8278 6.7816
angles: 90.00 90.00 90.00
Sites, in units of the cell vectors:
Sr: 0.0000 0.0000 0.0000
Y: 0.0000 0.0000 0.5000
Ta: 0.5000 0.5000 0.3047
Ta: 0.5000 0.5000 0.6953

***

<ii>
Material: SrYTa2
Method: DFT, meta-GGA SCAN
State: single point on PBEsol structure

Properties
Density of states at the Fermi level (states/eV/cell): 3.9
Magnetic moment (μB per atom): 0.00
Symmetry: No. 44

abc: 6.3056 6.3056 6.3056
angles: 149.37 126.58 62.84
Sites, in units of the cell vectors:
Sr: 0.0000 0.0000 0.0000
Y: 0.7053 0.2053 0.5000
Ta: 0.2682 0.7682 0.5000
Ta: 0.4493 0.4493 0.0000

***

The structure with the greatest stability is <ii>.

***

<i>
Material: SrZr2Ta
Method: DFT, meta-GGA SCAN
State: single point on PBEsol structure

Properties
Density of states at the Fermi level (states/eV/cell): 5.5
Magnetic moment (μB per atom): 0.00
Symmetry: No. 71

abc: 6.3876 6.3876 6.3876
angles: 152.03 125.73 62.15
Sites, in units of the cell vectors:
Sr: 0.0000 0.0000 0.0000
Zr: 0.2831 0.7831 0.5000
Zr: 0.7169 0.2169 0.5000
Ta: 0.5000 0.5000 0.0000

***

<ii>
Material: SrZr2Ta
Method: DFT, meta-GGA SCAN
State: single point on PBEsol structure

Properties
Density of states at the Fermi level (states/eV/cell): 5.1
Magnetic moment (μB per atom): 0.00
Symmetry: No. 99

abc: 3.6458 3.6458 7.7414
angles: 90.00 90.00 90.00
Sites, in units of the cell vectors:
Sr: 0.0000 0.0000 0.0000
Zr: 0.0000 0.0000 0.4501
Zr: 0.5000 0.5000 0.6583
Ta: 0.5000 0.5000 0.2962

***

The structure with the greatest stability is <ii>.

***

<i>
Material: SrTc
Method: DFT, meta-GGA SCAN
State: single point on PBEsol structure

Properties
Density of states at the Fermi level (states/eV/cell): 1.8
Magnetic moment (μB per atom): 0.62
Symmetry: No. 166

abc: 5.4478 5.4478 5.4478
angles: 32.66 32.66 32.66
Sites, in units of the cell vectors:
Sr: 0.0000 0.0000 0.0000
Tc: 0.5000 0.5000 0.5000

***

<ii>
Material: SrTc
Method: DFT, meta-GGA SCAN
State: single point on PBEsol structure

Properties
Density of states at the Fermi level (states/eV/cell): 6.1
Magnetic moment (μB per atom): 0.00
Symmetry: No. 227

abc: 4.9326 4.9326 4.9326
angles: 60.00 60.00 60.00
Sites, in units of the cell vectors:
Sr: 0.1250 0.1250 0.1250
Sr: 0.8750 0.8750 0.8750
Tc: 0.3750 0.3750 0.3750
Tc: 0.6250 0.6250 0.6250

***

<iii>
Material: SrTc
Method: DFT, meta-GGA SCAN
State: single point on PBEsol structure

Properties
Density of states at the Fermi level (states/eV/cell): 4.9
Magnetic moment (μB per atom): 0.00
Symmetry: No. 166

abc: 4.8643 4.8643 4.8643
angles: 66.86 66.86 66.86
Sites, in units of the cell vectors:
Sr: 0.1384 0.1384 0.1384
Sr: 0.8616 0.8616 0.8616
Tc: 0.4036 0.4036 0.4036
Tc: 0.5964 0.5964 0.5964

***

<iv>
Material: SrTc
Method: DFT, meta-GGA SCAN
State: single point on PBEsol structure

Properties
Density of states at the Fermi level (states/eV/cell): 1.2
Magnetic moment (μB per atom): 1.50
Symmetry: No. 216

abc: 4.7424 4.7424 4.7424
angles: 60.00 60.00 60.00
Sites, in units of the cell vectors:
Sr: 0.0000 0.0000 0.0000
Tc: 0.2500 0.2500 0.2500

***

The structure with the greatest stability is <iii>.

***

<i>
Material: SrTc3
Method: DFT, meta-GGA SCAN
State: single point on PBEsol structure

Properties
Density of states at the Fermi level (states/eV/cell): 3.0
Magnetic moment (μB per atom): 0.00
Symmetry: No. 71

abc: 5.5230 5.5230 5.5230
angles: 148.43 126.00 63.91
Sites, in units of the cell vectors:
Sr: 0.0000 0.0000 0.0000
Tc: 0.2856 0.7856 0.5000
Tc: 0.5000 0.5000 0.0000
Tc: 0.7144 0.2144 0.5000

***

<ii>
Material: SrTc3
Method: DFT, meta-GGA SCAN
State: single point on PBEsol structure

Properties
Density of states at the Fermi level (states/eV/cell): 3.4
Magnetic moment (μB per atom): 0.00
Symmetry: No. 12

abc: 4.8749 4.8749 5.7800
angles: 103.60 103.60 36.07
Sites, in units of the cell vectors:
Sr: 0.0000 0.0000 0.0000
Tc: 0.2142 0.2142 0.6496
Tc: 0.5000 0.5000 0.5000
Tc: 0.7858 0.7858 0.3504

***

<iii>
Material: SrTc3
Method: DFT, meta-GGA SCAN
State: single point on PBEsol structure

Properties
Density of states at the Fermi level (states/eV/cell): 4.0
Magnetic moment (μB per atom): 0.00
Symmetry: No. 166

abc: 5.4636 5.4636 5.4636
angles: 117.44 117.44 117.44
Sites, in units of the cell vectors:
Sr: 0.0000 0.0000 0.0000
Tc: 0.0000 0.5000 0.5000
Tc: 0.5000 0.0000 0.5000
Tc: 0.5000 0.5000 0.0000

***

The structure with the greatest stability is <ii>.